(1)
Material: TlSi2Se
Method: DFT, PBE
State: relaxed

The value obtained for the total magnetic moment is 0.000 μB per formula unit. The value obtained for the density of states at the Fermi level is 6.45 states/eV/cell. The value obtained for the energy above the most stable polymorph in this dataset is 501.5 meV per atom. As for the formation energy (no corrections): 0.646 eV per atom.

It has space group Fm-3m (No. 225), with a = 6.914 Å, b = 6.914 Å, c = 6.914 Å, α = 90.00°, β = 90.00° and γ = 90.00°. The asymmetric unit holds Tl at (0.000, 0.000, 0.000), Si at (0.250, 0.250, 0.250) and Se at (0.000, 0.000, 0.500).

***

(2)
Material: BaPSeBr2
Method: DFT, PBE
State: relaxed

The value obtained for the total magnetic moment is 1.042 μB per formula unit. The value obtained for the density of states at the Fermi level is 4.02 states/eV/cell. The value obtained for the energy above the most stable polymorph in this dataset is 811.1 meV per atom. As for the formation energy (no corrections): -0.063 eV per atom.

It has space group P4/mmm (No. 123), with a = 6.235 Å, b = 6.235 Å, c = 6.861 Å, α = 90.00°, β = 90.00° and γ = 90.00°. The asymmetric unit holds Ba at (0.000, 0.000, 0.000), P at (0.500, 0.500, 0.500), Se at (0.000, 0.000, 0.500) and Br at (0.000, 0.500, 0.000).

***

(3)
Material: TiZn3Rh4
Method: DFT, PBE
State: relaxed

The value obtained for the total magnetic moment is 0.000 μB per formula unit. Its formation energy from the elements is -14.02 kcal/mol of atoms. The value obtained for the density of states at the Fermi level is 6.74 states/eV/cell.

It has space group I4/mmm (No. 139), with a = 4.291 Å, b = 4.291 Å, c = 12.148 Å, α = 90.00°, β = 90.00° and γ = 90.00°. The asymmetric unit holds Ti at (0.000, 0.000, 0.000), Zn at (0.000, 0.000, 0.251), Zn at (0.000, 0.000, 0.500) and Rh at (0.000, 0.500, 0.126).

***

(4)
Material: CsSiAsO6
Method: DFT, PBE
State: relaxed

The value obtained for the total magnetic moment is 2.001 μB per formula unit. The value obtained for the density of states at the Fermi level is 5.13 states/eV/cell. As for the formation energy (no corrections): -1.429 eV per atom.

It has space group P312 (No. 149), with a = 4.8380 Å, b = 4.8380 Å, c = 6.9808 Å, α = 90.00°, β = 90.00° and γ = 120.00°. The asymmetric unit holds Cs at (0.0000, 0.0000, 0.0000), Si at (0.6667, 0.3333, 0.5000), As at (0.3333, 0.6667, 0.5000) and O at (0.3768, 0.0110, 0.6446).

***

(5)
Material: NaLa2MgMn
Method: DFT, PBE
State: relaxed

The value obtained for the total magnetic moment is 0.025 μB per formula unit. Its formation energy from the elements is 8.14 kcal/mol of atoms. The value obtained for the density of states at the Fermi level is 4.81 states/eV/cell.

It has space group P4/mmm (No. 123), with a = 5.099 Å, b = 5.099 Å, c = 5.826 Å, α = 90.00°, β = 90.00° and γ = 90.00°. The asymmetric unit holds Na at (0.000, 0.000, 0.000), La at (0.000, 0.500, 0.500), Mg at (0.500, 0.500, 0.000) and Mn at (0.000, 0.000, 0.500).

***

(6)
Material: BeC2I
Method: DFT, PBE
State: relaxed

The value obtained for the total magnetic moment is 0.000 μB per formula unit. The value obtained for the density of states at the Fermi level is 10.19 states/eV/cell. The value obtained for the energy above the most stable polymorph in this dataset is 0.0 meV per atom. As for the formation energy (no corrections): 1.783 eV per atom.

It has space group I-42d (No. 122), with a = 4.757 Å, b = 4.757 Å, c = 9.460 Å, α = 90.00°, β = 90.00° and γ = 90.00°. The asymmetric unit holds Be at (0.000, 0.000, 0.000), C at (0.152, 0.250, 0.125) and I at (0.000, 0.000, 0.500).

***

(7)
Material: PuUPtRh
Method: DFT, PBE
State: relaxed

The value obtained for the total magnetic moment is 5.093 μB per formula unit. Its formation energy from the elements is -15.74 kcal/mol of atoms. The value obtained for the density of states at the Fermi level is 15.33 states/eV/cell. The value obtained for the energy above the most stable polymorph in this dataset is 0.0 meV per atom.

It has space group F-43m (No. 216), with a = 6.606 Å, b = 6.606 Å, c = 6.606 Å, α = 90.00°, β = 90.00° and γ = 90.00°. The asymmetric unit holds Pu at (0.000, 0.000, 0.000), U at (0.250, 0.250, 0.750), Pt at (0.250, 0.250, 0.250) and Rh at (0.000, 0.000, 0.500).

***

(8)
Material: BeTcIr2
Method: DFT, PBE
State: relaxed

The value obtained for the total magnetic moment is 0.000 μB per formula unit. Its formation energy from the elements is -5.40 kcal/mol of atoms. The value obtained for the density of states at the Fermi level is 2.53 states/eV/cell.

It has space group P4mm (No. 99), with a = 2.780 Å, b = 2.780 Å, c = 6.645 Å, α = 90.00°, β = 90.00° and γ = 90.00°. The asymmetric unit holds Be at (0.000, 0.000, 0.000), Tc at (0.500, 0.500, 0.765), Ir at (0.000, 0.000, 0.492) and Ir at (0.500, 0.500, 0.191).